Record 1
# DyAl3O (PBE, optimized geometry)
data_DyAl3O
_cell_length_a 4.3663
_cell_length_b 4.3663
_cell_length_c 4.3663
_cell_angle_alpha 90.00
_cell_angle_beta 90.00
_cell_angle_gamma 90.00
_space_group_name_H-M_alt 'P 1'
_space_group_IT_number 1
_space_group_name_Hall 'P 1'
loop_
_atom_site_label
_atom_site_type_symbol
_atom_site_fract_x
_atom_site_fract_y
_atom_site_fract_z
Dy1 Dy 0.0000 0.0000 0.0000
Al1 Al 0.0000 0.5000 0.5000
Al2 Al 0.5000 0.0000 0.5000
Al3 Al 0.5000 0.5000 0.0000
O1 O 0.5000 0.5000 0.5000
# **SG**: No. 221
# **Uncorrected energy**: -23.74 eV/cell
# **V**: 83.24 Å³ per cell


Record 2
# DyAlOs (PBE, optimized geometry)
data_DyAlOs
_cell_length_a 4.4385
_cell_length_b 4.4385
_cell_length_c 4.4385
_cell_angle_alpha 60.00
_cell_angle_beta 60.00
_cell_angle_gamma 60.00
_space_group_name_H-M_alt 'P 1'
_space_group_IT_number 1
_space_group_name_Hall 'P 1'
loop_
_atom_site_label
_atom_site_type_symbol
_atom_site_fract_x
_atom_site_fract_y
_atom_site_fract_z
Dy1 Dy 0.0000 0.0000 0.0000
Al1 Al 0.2500 0.2500 0.2500
Os1 Os 0.5000 0.5000 0.5000
# **SG**: No. 216
# **Uncorrected energy**: -19.11 eV/cell
# **V**: 61.83 Å³ per cell


Record 3
# DyAl2Os2 (PBE, optimized geometry)
data_DyAl2Os2
_cell_length_a 6.0805
_cell_length_b 6.0805
_cell_length_c 6.0805
_cell_angle_alpha 140.38
_cell_angle_beta 140.38
_cell_angle_gamma 57.27
_space_group_name_H-M_alt 'P 1'
_space_group_IT_number 1
_space_group_name_Hall 'P 1'
loop_
_atom_site_label
_atom_site_type_symbol
_atom_site_fract_x
_atom_site_fract_y
_atom_site_fract_z
Dy1 Dy 0.0000 0.0000 0.0000
Al1 Al 0.3799 0.3799 0.0000
Al2 Al 0.6201 0.6201 0.0000
Os1 Os 0.2500 0.7500 0.5000
Os2 Os 0.7500 0.2500 0.5000
# **SG**: No. 139
# **Uncorrected energy**: -35.60 eV/cell
# **V**: 90.63 Å³ per cell


Record 4
# Dy2AlSiOs (PBE, optimized geometry)
data_Dy2AlSiOs
_cell_length_a 5.5899
_cell_length_b 5.5899
_cell_length_c 5.5899
_cell_angle_alpha 136.31
_cell_angle_beta 77.08
_cell_angle_gamma 120.04
_space_group_name_H-M_alt 'P 1'
_space_group_IT_number 1
_space_group_name_Hall 'P 1'
loop_
_atom_site_label
_atom_site_type_symbol
_atom_site_fract_x
_atom_site_fract_y
_atom_site_fract_z
Dy1 Dy 0.2010 0.0000 0.2010
Dy2 Dy 0.7990 0.0000 0.7990
Al1 Al 0.5089 0.5089 0.0000
Si1 Si 0.2288 0.7288 0.5000
Os1 Os 0.7755 0.2755 0.5000
# **SG**: No. 44
# **Uncorrected energy**: -32.10 eV/cell
# **V**: 101.62 Å³ per cell


Record 5
# DyTmAlOs2 (PBE, optimized geometry)
data_DyTmAlOs2
_cell_length_a 5.5568
_cell_length_b 5.5568
_cell_length_c 5.5568
_cell_angle_alpha 135.68
_cell_angle_beta 119.50
_cell_angle_gamma 78.00
_space_group_name_H-M_alt 'P 1'
_space_group_IT_number 1
_space_group_name_Hall 'P 1'
loop_
_atom_site_label
_atom_site_type_symbol
_atom_site_fract_x
_atom_site_fract_y
_atom_site_fract_z
Dy1 Dy 0.0000 0.0000 0.0000
Tm1 Tm 0.4056 0.4056 0.0000
Al1 Al 0.7028 0.2028 0.5000
Os1 Os 0.4256 0.7029 0.7228
Os2 Os 0.9801 0.7029 0.2772
# **SG**: No. 44
# **Uncorrected energy**: -37.44 eV/cell
# **V**: 101.35 Å³ per cell


Record 6
# DyAl3P3 (PBE, optimized geometry)
data_DyAl3P3
_cell_length_a 4.1982
_cell_length_b 4.1982
_cell_length_c 17.6783
_cell_angle_alpha 90.00
_cell_angle_beta 90.00
_cell_angle_gamma 120.00
_space_group_name_H-M_alt 'P 1'
_space_group_IT_number 1
_space_group_name_Hall 'P 1'
loop_
_atom_site_label
_atom_site_type_symbol
_atom_site_fract_x
_atom_site_fract_y
_atom_site_fract_z
Dy1 Dy 0.0000 0.0000 0.0000
Dy2 Dy 0.0000 0.0000 0.5000
Al1 Al 0.3333 0.6667 0.1155
Al2 Al 0.3333 0.6667 0.3845
Al3 Al 0.3333 0.6667 0.7500
Al4 Al 0.6667 0.3333 0.2500
Al5 Al 0.6667 0.3333 0.6155
Al6 Al 0.6667 0.3333 0.8845
P1 P 0.3333 0.6667 0.2500
P2 P 0.3333 0.6667 0.5970
P3 P 0.3333 0.6667 0.9030
P4 P 0.6667 0.3333 0.0970
P5 P 0.6667 0.3333 0.4030
P6 P 0.6667 0.3333 0.7500
# **SG**: No. 194
# **Uncorrected energy**: -71.12 eV/cell
# **V**: 269.83 Å³ per cell


> Look up the V of the fourth one.

101.62 Å³ per cell


> Which formula does entry 4 have?

Dy2AlSiOs


What did the fourth record say?
# Dy2AlSiOs (PBE, optimized geometry)
data_Dy2AlSiOs
_cell_length_a 5.5899
_cell_length_b 5.5899
_cell_length_c 5.5899
_cell_angle_alpha 136.31
_cell_angle_beta 77.08
_cell_angle_gamma 120.04
_space_group_name_H-M_alt 'P 1'
_space_group_IT_number 1
_space_group_name_Hall 'P 1'
loop_
_atom_site_label
_atom_site_type_symbol
_atom_site_fract_x
_atom_site_fract_y
_atom_site_fract_z
Dy1 Dy 0.2010 0.0000 0.2010
Dy2 Dy 0.7990 0.0000 0.7990
Al1 Al 0.5089 0.5089 0.0000
Si1 Si 0.2288 0.7288 0.5000
Os1 Os 0.7755 0.2755 0.5000
# **SG**: No. 44
# **Uncorrected energy**: -32.10 eV/cell
# **V**: 101.62 Å³ per cell